12
Lattice="4.513 0.000 0.147 0.000 5.385 0.000 0.145 0.000 7.376" Properties=species:S:1:pos:R:3 comment="BeAlPt4 (GGA-PBE, optimized geometry)" crystal_system=monoclinic e_tot_ev_per_fu=-34.98 dos_at_fermi_per_ev_cell=4.23 de_polymorph_mev_per_atom=0 pbc="T T T"
Pt 4.485 3.236 1.524
Pt 0.211 4.770 4.902
Al 2.256 2.692 0.074
Pt 2.228 4.841 1.450
Pt 2.191 2.077 2.548
Al 0.000 0.000 0.000
Pt 2.467 3.307 4.975
Pt 4.447 0.615 2.621
Pt 0.173 2.148 5.999
Be 0.073 2.692 3.688
Pt 2.430 0.544 6.073
Be 2.329 0.000 3.761